A relaxed structure of CaLa2Hg, computed with GGA-PBE.

## Properties
Magnetization ... 0.01 μB/atom
Space-group type ... No. 160
Calculated formation energy ... -43 kJ/mol of formula units

Geometry as POSCAR:
```
CaLa2Hg
1.0
1.9148 1.1055 11.3445
-1.9148 1.1055 11.3445
0.0000 -2.2110 11.3445
Ca La Hg
1 2 1
direct
0.0000 0.0000 0.0000
0.2382 0.2382 0.2382
0.4270 0.4270 0.4270
0.8326 0.8326 0.8326
```